1.
Below is a crystal of Ag relaxed with PBEsol, with properties calculated at the SCAN level.

Computed properties:
distance to the lowest polymorph of the same formula	0	meV/atom
calculated formation energy	0.0	meV per atom

Cell lengths 4.0438, 4.0438, 4.0438 Å; angles 90.00, 90.00, 90.00 degrees
Last column: nearest neighbours and their distance in Å.
Positions (direct):
Ag  0.0000  0.0000  0.0000  12 Ag 2.86
Ag  0.0000  0.5000  0.5000  12 Ag 2.86
Ag  0.5000  0.0000  0.5000  12 Ag 2.86
Ag  0.5000  0.5000  0.0000  12 Ag 2.86

=====

2.
Below is a crystal of Ag relaxed with PBEsol, with properties calculated at the SCAN level.

Computed properties:
distance to the lowest polymorph of the same formula	8	meV/atom
calculated formation energy	7.7	meV per atom

Cell lengths 2.8493, 2.8493, 21.1949 Å; angles 90.00, 90.00, 120.00 degrees
Last column: nearest neighbours and their distance in Å.
Positions (direct):
Ag  0.0000  0.0000  0.0000  12 Ag 2.85-2.87
Ag  0.0000  0.0000  0.2223  12 Ag 2.85-2.88
Ag  0.0000  0.0000  0.7777  12 Ag 2.85-2.88
Ag  0.3333  0.6667  0.4444  12 Ag 2.85-2.88
Ag  0.3333  0.6667  0.6667  12 Ag 2.85-2.87
Ag  0.3333  0.6667  0.8890  12 Ag 2.85-2.88
Ag  0.6667  0.3333  0.1110  12 Ag 2.85-2.88
Ag  0.6667  0.3333  0.3333  12 Ag 2.85-2.87
Ag  0.6667  0.3333  0.5556  12 Ag 2.85-2.88

=====

3.
Below is a crystal of Ag relaxed with PBEsol, with properties calculated at the SCAN level.

Computed properties:
distance to the lowest polymorph of the same formula	892	meV/atom
calculated formation energy	891.6	meV per atom

Cell lengths 6.0166, 6.0166, 6.0166 Å; angles 90.00, 90.00, 90.00 degrees
Last column: nearest neighbours and their distance in Å.
Positions (direct):
Ag  0.1250  0.1250  0.1250  4 Ag 2.61
Ag  0.1250  0.6250  0.6250  4 Ag 2.61
Ag  0.3750  0.3750  0.8750  4 Ag 2.61
Ag  0.3750  0.8750  0.3750  4 Ag 2.61
Ag  0.6250  0.1250  0.6250  4 Ag 2.61
Ag  0.6250  0.6250  0.1250  4 Ag 2.61
Ag  0.8750  0.3750  0.3750  4 Ag 2.61
Ag  0.8750  0.8750  0.8750  4 Ag 2.61

=====

4.
Below is a crystal of Ag relaxed with PBEsol, with properties calculated at the SCAN level.

Computed properties:
distance to the lowest polymorph of the same formula	8	meV/atom
calculated formation energy	7.5	meV per atom

Cell lengths 2.8781, 2.8781, 4.6376 Å; angles 90.00, 90.00, 120.00 degrees
Last column: nearest neighbours and their distance in Å.
Positions (direct):
Ag  0.3333  0.6667  0.2500  12 Ag 2.85-2.88
Ag  0.6667  0.3333  0.7500  12 Ag 2.85-2.88

=====

5.
Below is a crystal of Al5Ag relaxed with PBEsol, with properties calculated at the SCAN level.

Computed properties:
distance to the lowest polymorph of the same formula	18	meV/atom
calculated formation energy	-15.3	meV per atom

Cell lengths 2.8698, 2.8698, 11.7872 Å; angles 90.00, 90.00, 90.00 degrees
Last column: nearest neighbours and their distance in Å.
Positions (direct):
Al  0.0000  0.0000  0.0000  12 Al 2.82-2.87
Al  0.0000  0.0000  0.3343  4 Ag 2.82, 8 Al 2.84-2.87
Al  0.0000  0.0000  0.6657  4 Ag 2.82, 8 Al 2.84-2.87
Al  0.5000  0.5000  0.1660  12 Al 2.82-2.87
Al  0.5000  0.5000  0.8340  12 Al 2.82-2.87
Ag  0.5000  0.5000  0.5000  8 Al 2.82, 4 Ag 2.87

=====

6.
Below is a crystal of Al5Ag3 relaxed with PBEsol, with properties calculated at the SCAN level.

Computed properties:
distance to the lowest polymorph of the same formula	16	meV/atom
calculated formation energy	-55.6	meV per atom

Cell lengths 18.0568, 18.0568, 18.0568 Å; angles 9.17, 9.17, 9.17 degrees
Last column: nearest neighbours and their distance in Å.
Positions (direct):
Al  0.0000  0.0000  0.0000  3 Ag 2.74, 9 Al 2.82-2.89
Al  0.1244  0.1244  0.1244  6 Ag 2.74-2.78, 6 Al 2.89
Al  0.2491  0.2491  0.2491  12 Al 2.81-2.89
Al  0.6244  0.6244  0.6244  12 Al 2.81-2.89
Al  0.8735  0.8735  0.8735  3 Ag 2.78, 9 Al 2.82-2.89
Ag  0.3736  0.3736  0.3736  3 Al 2.74, 9 Ag 2.89-2.90
Ag  0.4990  0.4990  0.4990  6 Al 2.78, 6 Ag 2.89
Ag  0.7509  0.7509  0.7509  3 Al 2.74, 9 Ag 2.89-2.90

=====

7.
Below is a crystal of Al7Ag4 relaxed with PBEsol, with properties calculated at the SCAN level.

Computed properties:
distance to the lowest polymorph of the same formula	30	meV/atom
calculated formation energy	-37.4	meV per atom

Cell lengths 7.3935, 7.3935, 6.5306 Å; angles 102.95, 102.95, 31.02 degrees
Last column: nearest neighbours and their distance in Å.
Positions (direct):
Al  0.0000  0.0000  0.0000  5 Ag 2.77-2.86, 7 Al 2.80-2.99
Al  0.0877  0.0877  0.4562  8 Al 2.76-3.00, 4 Ag 2.79-2.81
Al  0.1840  0.1840  0.9163  7 Ag 2.80-2.86, 5 Al 2.80-3.00
Al  0.2702  0.2702  0.3662  5 Al 2.80-2.91, 7 Ag 2.81-2.87
Al  0.4516  0.4516  0.2637  4 Ag 2.77-2.98, 8 Al 2.81-3.01
Al  0.5426  0.5426  0.7284  3 Ag 2.70-3.01, 9 Al 2.82-3.01
Al  0.9062  0.9062  0.5392  8 Al 2.76-2.99, 4 Ag 2.78-2.90
Ag  0.3637  0.3637  0.8031  8 Al 2.70-2.98, 4 Ag 2.88-2.91
Ag  0.6356  0.6356  0.1913  10 Al 2.77-3.01, 2 Ag 2.85-2.90
Ag  0.7189  0.7189  0.6406  8 Al 2.70-2.90, 4 Ag 2.88-2.98
Ag  0.8207  0.8207  0.0948  8 Al 2.77-2.87, 4 Ag 2.85-2.98

=====

8.
Below is a crystal of AlAg relaxed with PBEsol, with properties calculated at the SCAN level.

Computed properties:
calculated formation energy	-49.6	meV per atom

Cell lengths 2.9669, 3.9285, 11.1295 Å; angles 90.00, 90.00, 90.00 degrees
Last column: nearest neighbours and their distance in Å.
Positions (direct):
Al  0.0000  0.0000  0.0000  5 Ag 2.74-2.77, 7 Al 2.79-2.97
Al  0.0000  0.0000  0.2503  8 Al 2.79-2.97, 4 Ag 2.79
Al  0.0000  0.0000  0.5072  9 Ag 2.75-2.90, 3 Al 2.86-2.97
Al  0.5000  0.5000  0.1266  2 Ag 2.67-2.70, 10 Al 2.82-2.97
Ag  0.0000  0.0000  0.7541  2 Al 2.74-2.75, 10 Ag 2.87-2.97
Ag  0.5000  0.5000  0.3691  9 Al 2.70-2.90, 3 Ag 2.81-2.97
Ag  0.5000  0.5000  0.6219  4 Al 2.77, 8 Ag 2.81-2.97
Ag  0.5000  0.5000  0.8866  5 Al 2.67-2.77, 7 Ag 2.87-2.97

=====

9.
Below is a crystal of AlAg relaxed with PBEsol, with properties calculated at the SCAN level.

Computed properties:
calculated formation energy	-70.9	meV per atom

Cell lengths 5.7549, 5.7549, 3.8948 Å; angles 90.00, 90.00, 90.00 degrees
Last column: nearest neighbours and their distance in Å.
Positions (direct):
Al  0.0000  0.2515  0.0000  6 Ag 2.79-2.88, 6 Al 2.83-2.89
Al  0.0000  0.7485  0.0000  6 Ag 2.79-2.88, 6 Al 2.83-2.89
Al  0.2515  0.0000  0.5000  6 Ag 2.79-2.88, 6 Al 2.83-2.89
Al  0.7485  0.0000  0.5000  6 Ag 2.79-2.88, 6 Al 2.83-2.89
Ag  0.2434  0.5000  0.5000  6 Al 2.79-2.88, 6 Ag 2.80-2.95
Ag  0.5000  0.2434  0.0000  6 Al 2.79-2.88, 6 Ag 2.80-2.95
Ag  0.5000  0.7566  0.0000  6 Al 2.79-2.88, 6 Ag 2.80-2.95
Ag  0.7566  0.5000  0.5000  6 Al 2.79-2.88, 6 Ag 2.80-2.95

=====

10.
Below is a crystal of Al5Ag relaxed with PBEsol, with properties calculated at the SCAN level.

Computed properties:
distance to the lowest polymorph of the same formula	40	meV/atom
calculated formation energy	6.7	meV per atom

Cell lengths 4.0400, 12.0137, 4.0314 Å; angles 90.00, 90.00, 90.00 degrees
Last column: nearest neighbours and their distance in Å.
Positions (direct):
Al  0.0000  0.0000  0.0000  8 Al 2.83-2.85, 4 Ag 2.85
Al  0.0000  0.1651  0.5000  10 Al 2.83-2.87, 2 Ag 2.83
Al  0.0000  0.3331  0.0000  10 Al 2.84-2.85, 2 Ag 2.84
Al  0.0000  0.6669  0.0000  10 Al 2.84-2.85, 2 Ag 2.84
Al  0.0000  0.8349  0.5000  10 Al 2.83-2.87, 2 Ag 2.83
Al  0.5000  0.1669  0.0000  10 Al 2.84-2.85, 2 Ag 2.84
Al  0.5000  0.3349  0.5000  10 Al 2.83-2.87, 2 Ag 2.83
Al  0.5000  0.5000  0.0000  8 Al 2.83-2.85, 4 Ag 2.85
Al  0.5000  0.6651  0.5000  10 Al 2.83-2.87, 2 Ag 2.83
Al  0.5000  0.8331  0.0000  10 Al 2.84-2.85, 2 Ag 2.84
Ag  0.0000  0.5000  0.5000  12 Al 2.83-2.85
Ag  0.5000  0.0000  0.5000  12 Al 2.83-2.85

=====

11.
Below is a crystal of AlAg2 relaxed with PBEsol, with properties calculated at the SCAN level.

Computed properties:
calculated formation energy	-75.2	meV per atom

Cell lengths 2.8916, 3.8990, 8.5896 Å; angles 90.00, 90.00, 90.00 degrees
Last column: nearest neighbours and their distance in Å.
Positions (direct):
Al  0.0000  0.0000  0.1718  9 Ag 2.77-2.84, 3 Al 2.89-2.95
Al  0.0000  0.0000  0.8282  9 Ag 2.77-2.84, 3 Al 2.89-2.95
Ag  0.0000  0.0000  0.5000  2 Al 2.82, 10 Ag 2.85-2.89
Ag  0.5000  0.5000  0.0000  4 Ag 2.81-2.89, 8 Al 2.84
Ag  0.5000  0.5000  0.3267  4 Al 2.77, 8 Ag 2.81-2.98
Ag  0.5000  0.5000  0.6733  4 Al 2.77, 8 Ag 2.81-2.98

=====

12.
Below is a crystal of Al3Ag relaxed with PBEsol, with properties calculated at the SCAN level.

Computed properties:
calculated formation energy	-26.8	meV per atom

Cell lengths 7.5066, 7.5066, 7.5066 Å; angles 148.60, 115.87, 73.15 degrees
Last column: nearest neighbours and their distance in Å.
Positions (direct):
Al  0.0000  0.0000  0.0000  12 Al 2.80-2.88
Al  0.0876  0.8342  0.2535  4 Ag 2.77-2.83, 8 Al 2.84-2.87
Al  0.1604  0.6604  0.5000  10 Al 2.80-2.87, 2 Ag 2.83
Al  0.2563  0.5000  0.7563  4 Ag 2.81-2.88, 8 Al 2.81-2.88
Al  0.4193  0.1658  0.2535  4 Ag 2.77-2.83, 8 Al 2.84-2.87
Al  0.5807  0.8342  0.7465  4 Ag 2.77-2.83, 8 Al 2.84-2.87
Al  0.7437  0.5000  0.2437  4 Ag 2.81-2.88, 8 Al 2.81-2.88
Al  0.8396  0.3396  0.5000  10 Al 2.80-2.87, 2 Ag 2.83
Al  0.9124  0.1658  0.7465  4 Ag 2.77-2.83, 8 Al 2.84-2.87
Ag  0.3233  0.3233  0.0000  10 Al 2.77-2.88, 2 Ag 2.94
Ag  0.5000  0.0000  0.5000  8 Al 2.80-2.81, 4 Ag 2.94
Ag  0.6767  0.6767  0.0000  10 Al 2.77-2.88, 2 Ag 2.94

=====

Which value of calculated formation energy does entry 10 give? 6.7 meV per atom

=====

Which formula does entry 3 have? Ag

=====

The highest calculated formation energy belongs to which entry? number 3

=====

Look up the calculated formation energy of the ninth one. -70.9 meV per atom